PBE NbGePb2, relaxed; DFT formation energy = 1.00 eV per atom; theoretical density = 7.1 g/cm3; V = 34.08 A^3/atom
1.0
-3.301 3.301 6.256
3.301 -3.301 6.256
3.301 3.301 -6.256
Nb Ge Pb
2 2 4
Cartesian
0.000 0.000 0.000
0.000 3.301 3.128
3.301 0.000 3.128
0.000 0.000 6.256
4.951 1.636 -1.564
1.636 1.650 1.564
-1.650 1.665 4.692
1.665 1.650 7.819